Ba3MnNb2O9: relaxed, PBE with a Hubbard U.

Properties
Raw total energy   -7.913 eV per atom
ρ   6.02 Mg/m³

Cell: 5.908 5.908 7.263 Å, 90.00 90.00 120.00°
Each line ends with the local moment (μB).
Element x y z (fractional)
Ba: 0.000 0.000 0.000  0.00
Ba: 0.667 0.333 0.332  0.00
Ba: 0.333 0.667 0.668  0.00
Mn: 0.000 0.000 0.500  4.61
Nb: 0.667 0.333 0.825  0.05
Nb: 0.333 0.667 0.175  0.05
O: 0.500 0.500 0.000  0.00
O: 0.000 0.500 0.000  0.00
O: 0.500 0.000 0.000  0.00
O: 0.653 0.827 0.322  0.02
O: 0.173 0.347 0.322  0.02
O: 0.173 0.827 0.322  0.02
O: 0.827 0.653 0.678  0.02
O: 0.347 0.173 0.678  0.02
O: 0.827 0.173 0.678  0.02